# 1
The following is a DFT calculation (PBE-GGA) of CaBi2O4 after structural relaxation.

The structure in POSCAR format:
```
CaBi2O4
1.0
-3.471 3.553 4.946
3.471 -3.553 4.946
3.471 3.553 -4.946
Ca Bi O
2 4 8
Direct
0.000 0.000 0.000
0.500 0.000 0.500
0.000 0.000 0.500
0.000 0.500 0.000
0.374 0.624 0.750
0.626 0.376 0.250
0.225 0.241 0.984
0.242 0.227 0.486
0.242 0.756 0.014
0.243 0.759 0.484
0.757 0.241 0.516
0.758 0.244 0.986
0.758 0.773 0.514
0.775 0.759 0.016
```

Summary:
ΔE_f (raw) (meV/atom): -1692
Volume (Å³ per cell): 244.0

---

# 2
The following is a DFT calculation (PBE-GGA) of CaBi2O4 after structural relaxation.

The structure in POSCAR format:
```
CaBi2O4
1.0
7.068 0.000 0.000
-3.534 6.121 0.000
0.000 0.000 17.312
Ca Bi O
6 12 24
Direct
0.000 0.000 0.000
0.000 0.000 0.248
0.333 0.667 0.583
0.667 0.333 0.290
0.667 0.333 0.668
0.667 0.333 0.917
0.000 0.000 0.627
0.167 0.335 0.793
0.167 0.833 0.793
0.333 0.166 0.459
0.333 0.667 0.339
0.333 0.667 0.962
0.502 0.005 0.128
0.502 0.498 0.128
0.665 0.833 0.793
0.834 0.166 0.459
0.834 0.667 0.459
0.995 0.498 0.128
0.000 0.000 0.383
0.000 0.000 0.868
0.015 0.507 0.870
0.158 0.316 0.535
0.158 0.842 0.535
0.178 0.356 0.042
0.178 0.822 0.042
0.309 0.154 0.708
0.333 0.667 0.210
0.333 0.667 0.717
0.359 0.179 0.203
0.493 0.507 0.870
0.493 0.985 0.870
0.512 0.024 0.376
0.512 0.488 0.376
0.644 0.822 0.042
0.667 0.333 0.054
0.667 0.333 0.535
0.684 0.842 0.535
0.821 0.179 0.203
0.821 0.641 0.203
0.846 0.154 0.708
0.846 0.691 0.708
0.976 0.488 0.376
```

Summary:
ΔE_f (raw) (meV/atom): -1652
Volume (Å³ per cell): 749.0

---

# 3
The following is a DFT calculation (PBE-GGA) of CaBi2O5 after structural relaxation.

The structure in POSCAR format:
```
CaBi2O5
1.0
3.922 0.000 0.000
0.000 12.001 0.000
0.000 0.000 5.456
Ca Bi O
2 4 10
Direct
0.250 0.250 0.230
0.750 0.750 0.770
0.250 0.583 0.218
0.250 0.917 0.218
0.750 0.083 0.782
0.750 0.417 0.782
0.250 0.084 0.976
0.250 0.416 0.976
0.250 0.622 0.596
0.250 0.750 0.064
0.250 0.878 0.596
0.750 0.122 0.404
0.750 0.250 0.936
0.750 0.378 0.404
0.750 0.584 0.024
0.750 0.916 0.024
```

Summary:
Polymorph energy (0 for the lowest one) (kJ/mol of atoms): 18.5
ΔE_f (raw) (meV/atom): -1353
Volume (Å³ per cell): 256.8

---

# 4
The following is a DFT calculation (PBE-GGA) of Ca4Bi6O13 after structural relaxation.

The structure in POSCAR format:
```
Ca4Bi6O13
1.0
6.014 0.000 0.000
0.000 7.267 0.000
-3.006 0.000 8.872
Ca Bi O
4 6 13
Direct
0.000 0.248 0.000
0.000 0.752 0.000
0.430 0.248 0.859
0.430 0.752 0.859
0.284 0.269 0.430
0.284 0.731 0.430
0.656 0.000 0.204
0.657 0.500 0.202
0.880 0.000 0.655
0.885 0.500 0.657
0.144 0.255 0.609
0.144 0.745 0.609
0.147 0.000 0.869
0.147 0.500 0.869
0.415 0.000 0.431
0.416 0.251 0.124
0.416 0.749 0.124
0.707 0.000 0.990
0.707 0.500 0.990
0.722 0.251 0.736
0.722 0.749 0.736
0.964 0.254 0.250
0.964 0.746 0.250
```

Summary:
ΔE_f (raw) (meV/atom): -1847
Volume (Å³ per cell): 387.8

---

# 5
The following is a DFT calculation (PBE-GGA) of Ca3BiO after structural relaxation.

The structure in POSCAR format:
```
Ca3BiO
1.0
5.906 0.000 0.000
0.000 5.906 0.000
0.000 0.000 5.906
Ca Bi O
3 1 1
Direct
0.000 0.000 0.500
0.000 0.500 0.000
0.500 0.000 0.000
0.000 0.000 0.000
0.500 0.500 0.500
```

Summary:
Polymorph energy (0 for the lowest one) (kJ/mol of atoms): 147.0
ΔE_f (raw) (meV/atom): -5
Volume (Å³ per cell): 206.0

---

# 6
The following is a DFT calculation (PBE-GGA) of CaBi6O8 after structural relaxation.

The structure in POSCAR format:
```
CaBi6O8
1.0
4.201 2.425 5.505
-4.201 2.425 5.505
0.000 -4.851 5.505
Ca Bi O
1 6 8
Direct
0.000 0.000 0.000
0.127 0.663 0.410
0.337 0.590 0.873
0.410 0.127 0.663
0.590 0.873 0.337
0.663 0.410 0.127
0.873 0.337 0.590
0.102 0.289 0.768
0.232 0.898 0.711
0.289 0.768 0.102
0.396 0.396 0.396
0.604 0.604 0.604
0.711 0.232 0.898
0.768 0.102 0.289
0.898 0.711 0.232
```

Summary:
ΔE_f (raw) (meV/atom): -1033
Volume (Å³ per cell): 336.5